Record 1
Computed, not measured: Sc6TeSe2S3 after structural relaxation at the PBE level of DFT.

Computed properties:
E_form (uncorrected): -1.660 eV/atom

Geometry as CIF:
```
data_Sc6TeSe2S3
_chemical_formula_sum 'Sc12 Te2 Se4 S6'
_space_group_name_H-M_alt 'C 1 2/m 1'
_space_group_IT_number 12
_cell_length_a 16.773
_cell_length_b 3.805
_cell_length_c 7.733
_cell_angle_alpha 90.00
_cell_angle_beta 104.14
_cell_angle_gamma 90.00
loop_
_space_group_symop_operation_xyz
'x,y,z'
'-x,-y,-z'
'-x,y,-z'
'x,-y,z'
'x+1/2,y+1/2,z'
'-x+1/2,-y+1/2,-z'
'-x+1/2,y+1/2,-z'
'x+1/2,-y+1/2,z'
loop_
_atom_site_label
_atom_site_type_symbol
_atom_site_fract_x
_atom_site_fract_y
_atom_site_fract_z
Sc1 Sc 0.007 0.000 0.218
Sc2 Sc 0.160 0.500 0.099
Sc3 Sc 0.179 0.500 0.567
Te1 Te 0.000 0.500 0.500
Se1 Se 0.167 0.000 0.833
S1 S 0.000 0.500 0.000
S2 S 0.165 0.000 0.330
```

***

Record 2
Computed, not measured: MnSi2Cl2 after structural relaxation at the PBE level of DFT.

Computed properties:
polymorph energy (0 for the lowest one): 0.059 eV/f.u.
E_form (uncorrected): 0.560 eV/atom

Geometry as CIF:
```
data_MnSi2Cl2
_chemical_formula_sum 'Mn2 Si4 Cl4'
_space_group_name_H-M_alt 'P 4/m b m'
_space_group_IT_number 127
_space_group_name_Hall '-P 4 2ab'
_cell_length_a 5.948
_cell_length_b 5.948
_cell_length_c 5.256
_cell_angle_alpha 90.00
_cell_angle_beta 90.00
_cell_angle_gamma 90.00
loop_
_atom_site_label
_atom_site_type_symbol
_atom_site_fract_x
_atom_site_fract_y
_atom_site_fract_z
Mn1 Mn 0.000 0.000 0.000
Si1 Si 0.230 0.270 0.500
Cl1 Cl 0.178 0.322 0.000
```

***

no.,VASP energy (eV per atom),M_tot (μB per cell)
1,-6.70,0.0
2,-4.18,0.0